Entry from Alexandria via LeMat-Bulk: Al2CdTc after structural relaxation (PBE).

Computed properties:
energy of formation = 0.04 eV/atom
calculated density = 6.55 g/cm3
calculated total energy = -18.626 eV per cell

Geometry as POSCAR:
```
Al2CdTc
1.0
4.5307 -1.4698 0.0000
4.5307 1.4698 0.0000
-0.9682 0.0000 5.0327
Al Cd Tc
2 1 1
direct
0.2344 0.2344 0.2109
0.7656 0.7656 0.7891
0.0000 0.0000 0.5000
0.5000 0.5000 0.0000
```